[1]
# Dy13Th3, relaxed, DFT GGA-PBE
# spin magnetization = 0.00 μB per atom
# electronic total energy = -5.096 eV/atom
data_Dy13Th3
_chemical_formula_sum 'Dy26 Th6'
_cell_length_a 7.193
_cell_length_b 11.456
_cell_length_c 12.437
_cell_angle_alpha 90.00
_cell_angle_beta 90.00
_cell_angle_gamma 90.00
_symmetry_space_group_name_H-M 'A m m 2'
_symmetry_Int_Tables_number 38
loop_
_symmetry_equiv_pos_as_xyz
'x,y,z'
'-x,-y,z'
'-x,y,z'
'x,-y,z'
'x,y+1/2,z+1/2'
'-x,-y+1/2,z+1/2'
'-x,y+1/2,z+1/2'
'x,-y+1/2,z+1/2'
loop_
_atom_site_label
_atom_site_fract_x
_atom_site_fract_y
_atom_site_fract_z
_atom_site_occupancy
Dy1 0.000 0.000 0.000 1
Dy2 0.000 0.000 0.506 1
Dy3 0.000 0.250 0.175 1
Dy4 0.252 0.000 0.255 1
Dy5 0.252 0.249 0.421 1
Dy6 0.500 0.000 0.509 1
Dy7 0.500 0.247 0.170 1
Th1 0.253 0.000 0.756 1
Th2 0.500 0.000 0.999 1


[2]
# CdPAu, relaxed, DFT GGA-PBE
# spin magnetization = 0.00 μB per atom
# electronic total energy = -3.098 eV/atom
data_CdPAu
_chemical_formula_sum 'Cd4 P4 Au4'
_cell_length_a 7.127
_cell_length_b 4.813
_cell_length_c 6.927
_cell_angle_alpha 90.00
_cell_angle_beta 90.00
_cell_angle_gamma 90.00
_symmetry_space_group_name_H-M 'P n m a'
_symmetry_Int_Tables_number 62
loop_
_symmetry_equiv_pos_as_xyz
'x,y,z'
'-x,-y,-z'
'-x+1/2,-y,z+1/2'
'x+1/2,y,-z+1/2'
'x+1/2,-y+1/2,-z+1/2'
'-x+1/2,y+1/2,z+1/2'
'-x,y+1/2,-z'
'x,-y+1/2,z'
loop_
_atom_site_label
_atom_site_fract_x
_atom_site_fract_y
_atom_site_fract_z
_atom_site_occupancy
Cd1 0.080 0.250 0.132 1
P1 0.126 0.750 0.366 1
Au1 0.213 0.250 0.533 1


[3]
# MnCdAu, relaxed, DFT GGA-PBE
# spin magnetization = 1.33 μB per atom
# electronic total energy = -4.347 eV/atom
data_MnCdAu
_chemical_formula_sum 'Mn1 Cd1 Au1'
_cell_length_a 4.6537
_cell_length_b 4.6537
_cell_length_c 2.8760
_cell_angle_alpha 90.00
_cell_angle_beta 90.00
_cell_angle_gamma 120.00
_symmetry_space_group_name_H-M 'P 3 m 1'
_symmetry_Int_Tables_number 156
loop_
_symmetry_equiv_pos_as_xyz
'x,y,z'
'-y,x-y,z'
'-x+y,-x,z'
'-y,-x,z'
'-x+y,y,z'
'x,x-y,z'
loop_
_atom_site_label
_atom_site_fract_x
_atom_site_fract_y
_atom_site_fract_z
_atom_site_occupancy
Mn1 0.0000 0.0000 0.0000 1
Cd1 0.3333 0.6667 0.6007 1
Au1 0.6667 0.3333 0.2886 1


[4]
# La6Pr3Er2, relaxed, DFT GGA-PBE
# spin magnetization = 0.00 μB per atom
# electronic total energy = -4.802 eV/atom
data_La6Pr3Er2
_chemical_formula_sum 'La6 Pr3 Er2'
_cell_length_a 6.393
_cell_length_b 8.224
_cell_length_c 8.294
_cell_angle_alpha 107.38
_cell_angle_beta 97.71
_cell_angle_gamma 105.06
_symmetry_space_group_name_H-M 'P -1'
_symmetry_Int_Tables_number 2
loop_
_symmetry_equiv_pos_as_xyz
'x,y,z'
'-x,-y,-z'
loop_
_atom_site_label
_atom_site_fract_x
_atom_site_fract_y
_atom_site_fract_z
_atom_site_occupancy
La1 0.046 0.184 0.408 1
La2 0.232 0.911 0.046 1
La3 0.316 0.274 0.864 1
Pr1 0.138 0.544 0.232 1
Pr2 0.500 0.000 0.500 1
Er1 0.411 0.634 0.679 1


[5]
# PaSiAg2O6, relaxed, DFT GGA-PBE
# spin magnetization = 0.00 μB per atom
# uncorrected formation energy = -1.930 eV/atom
# electronic total energy = -6.967 eV/atom
data_PaSiAg2O6
_chemical_formula_sum 'Pa3 Si3 Ag6 O18'
_cell_length_a 5.4884
_cell_length_b 5.4884
_cell_length_c 13.8522
_cell_angle_alpha 90.00
_cell_angle_beta 90.00
_cell_angle_gamma 120.00
_symmetry_space_group_name_H-M 'R -3'
_symmetry_Int_Tables_number 148
_symmetry_space_group_name_Hall '-R 3'
loop_
_atom_site_label
_atom_site_fract_x
_atom_site_fract_y
_atom_site_fract_z
_atom_site_occupancy
Pa1 0.0000 0.0000 0.0000 1
Si1 0.0000 0.0000 0.5000 1
Ag1 0.0000 0.0000 0.2501 1
O1 0.0355 0.4394 0.2426 1


[6]
# Th2Al3Tc, relaxed, DFT GGA-PBE
# energy above the most stable polymorph in this dataset = 0.000 eV/atom
# spin magnetization = 0.00 μB per atom
# electronic total energy = -6.519 eV/atom
data_Th2Al3Tc
_chemical_formula_sum 'Th4 Al6 Tc2'
_cell_length_a 5.5891
_cell_length_b 5.5891
_cell_length_c 9.1907
_cell_angle_alpha 90.00
_cell_angle_beta 90.00
_cell_angle_gamma 120.00
_symmetry_space_group_name_H-M 'P 63/m m c'
_symmetry_Int_Tables_number 194
_symmetry_space_group_name_Hall '-P 6c 2c'
loop_
_atom_site_label
_atom_site_fract_x
_atom_site_fract_y
_atom_site_fract_z
_atom_site_occupancy
Th1 0.3333 0.6667 0.0474 1
Al1 0.1622 0.3245 0.7500 1
Tc1 0.0000 0.0000 0.0000 1